Material: DyCuW2O8
Method: DFT, PBE+U
State: relaxed

Cell: 5.1473 6.0655 6.1251 Å, 108.73 91.70 113.99°
Closest atoms and distances in Å follow each position.
Sites, in units of the cell vectors:
O 0.8405 0.1991 0.8048  1 Cu 1.85, 1 W 1.93
W 0.6250 0.3889 0.9433  4 O 1.82-1.99
O 0.3563 0.6467 0.4916  1 W 1.82
O 0.3481 0.2078 0.6062  2 W 1.99-2.14
O 0.4026 0.5929 0.9477  2 W 1.99-2.14
O 0.8608 0.1596 0.3528  1 W 1.82
W 0.1257 0.4118 0.6104  4 O 1.82-1.99
Dy 0.3755 0.9004 0.2769  6 O 2.28-2.32
O 0.9100 0.6016 0.7486  1 Cu 1.85, 1 W 1.93
O 0.8903 0.6412 0.2007  1 W 1.82
O 0.3950 0.1542 0.0624  1 W 1.82
Cu 0.8741 0.8997 0.7760  2 O 1.85

Summary:
As for the space-group type: No. 1. The total energy is -7.3678 eV/atom.